Compound: Dy15Y2Ho2
Source: Alexandria via LeMat-Bulk
Functional: GGA-PBE
Structure: relaxed

* V: 33.09 A^3/atom
* energy of formation from the pure elements: 0.29 eV/atom
* symmetry: R-3m, No. 166

a = 8.704 Å, b = 8.704 Å, c = 8.704 Å
α = 79.26°, β = 79.26°, γ = 79.26°
Fractional positions:
Dy1 0.000 0.000 0.500
Dy2 0.500 0.000 0.000
Dy3 0.000 0.500 0.000
Dy4 0.299 0.701 0.000
Dy5 0.000 0.299 0.701
Dy6 0.701 0.000 0.299
Dy7 0.000 0.701 0.299
Dy8 0.299 0.000 0.701
Dy9 0.701 0.299 0.000
Dy10 0.628 0.628 0.150
Dy11 0.150 0.628 0.628
Dy12 0.628 0.150 0.628
Dy13 0.372 0.372 0.850
Dy14 0.850 0.372 0.372
Dy15 0.372 0.850 0.372
Y1 0.096 0.096 0.096
Y2 0.904 0.904 0.904
Ho1 0.321 0.321 0.321
Ho2 0.679 0.679 0.679